Record 1
This record from Alexandria via LeMat-Bulk describes crystalline Ba2ZnAu at its relaxed geometry. The functional is GGA-PBE.

It has space group Amm2 (No. 38), with a = 4.807 Å, b = 4.742 Å, c = 12.468 Å, α = 90.00°, β = 90.00° and γ = 90.00°. The asymmetric unit holds Ba at (0.000, 0.000, 0.000), Ba at (0.500, 0.000, 0.281), Zn at (0.500, 0.000, 0.581) and Au at (0.000, 0.000, 0.699).

The energy relative to the elements is -0.4517 eV per atom.

=====

Record 2
This record from Alexandria via LeMat-Bulk describes crystalline KRuBr2 at its relaxed geometry. The functional is GGA-PBE.

It has space group P4/mmm (No. 123), with a = 5.140 Å, b = 5.140 Å, c = 4.309 Å, α = 90.00°, β = 90.00° and γ = 90.00°. The asymmetric unit holds K at (0.000, 0.000, 0.000), Ru at (0.500, 0.500, 0.500) and Br at (0.000, 0.500, 0.500).

The uncorrected formation energy is -0.249 eV per atom. The value obtained for the excess energy over the best structure of this formula in the dataset is 0.040 eV per atom.